Entry from the Alexandria database: crystalline Sr2MoO at its relaxed geometry (GGA+U).

Geometry as POSCAR:
```
Sr2MoO
1.0
-3.721 3.721 4.789
3.721 -3.721 4.789
3.721 3.721 -4.789
Sr Mo O
4 2 2
Direct
0.375 0.245 0.370 Sr
0.755 0.125 0.130 Sr
0.875 0.005 0.630 Sr
0.995 0.625 0.870 Sr
0.250 0.750 0.500 Mo
0.500 0.500 0.000 Mo
0.000 0.000 0.000 O
0.750 0.250 0.500 O
```

E, eV/cell: -36.2
Density, g/cm3: 3.60